# TiTe2P PBE optimized geometry
data_TiTe2P
_chemical_formula_sum 'Ti3 Te6 P3'
_cell_length_a 3.6451
_cell_length_b 3.6451
_cell_length_c 26.8736
_cell_angle_alpha 90.00
_cell_angle_beta 90.00
_cell_angle_gamma 120.00
_symmetry_space_group_name_H-M 'R -3 m'
_symmetry_Int_Tables_number 166
_symmetry_space_group_name_Hall '-R 3 2"'
loop_
_atom_site_label
_atom_site_fract_x
_atom_site_fract_y
_atom_site_fract_z
_atom_site_occupancy
Ti1 0.0000 0.0000 0.0000 1
Te1 0.0000 0.0000 0.3995 1
P1 0.0000 0.0000 0.5000 1
# Calculated volume, Å³/atom: 25.77
# ΔE_f (raw), meV/atom: 9.3
# Density, kg/m³: 5381


# PrTl2Pb PBE optimized geometry
data_PrTl2Pb
_chemical_formula_sum 'Pr1 Tl2 Pb1'
_cell_length_a 4.044
_cell_length_b 4.044
_cell_length_c 7.327
_cell_angle_alpha 90.00
_cell_angle_beta 90.00
_cell_angle_gamma 90.00
_symmetry_space_group_name_H-M 'P 4/m m m'
_symmetry_Int_Tables_number 123
_symmetry_space_group_name_Hall '-P 4 2'
loop_
_atom_site_label
_atom_site_fract_x
_atom_site_fract_y
_atom_site_fract_z
_atom_site_occupancy
Pr1 0.000 0.000 0.000 1
Tl1 0.500 0.500 0.263 1
Pb1 0.000 0.000 0.500 1
# Calculated volume, Å³/atom: 29.95
# Density, kg/m³: 10489


So what do the calculations give for density of states at the Fermi level? Going down the list: 0.685, 0.790 states/eV per atom.
So what do the calculations give for electronic total energy? Going down the list: -0.180, -0.128 Ha/atom.